1.
## Tl2Hg2Te (PBE-GGA)

Data for a relaxed Tl2Hg2Te crystal.

Lattice parameters (Å, degrees): 8.1203 8.1203 4.7368 90.00 90.00 90.00
Positions (direct):
1 Hg 0.8695 0.6305 0.0000
2 Hg 0.6305 0.1305 0.0000
3 Hg 0.1305 0.3695 0.0000
4 Hg 0.3695 0.8695 0.0000
5 Tl 0.1755 0.6755 0.5000
6 Tl 0.8245 0.3245 0.5000
7 Tl 0.6755 0.8245 0.5000
8 Tl 0.3245 0.1755 0.5000
9 Te 0.5000 0.5000 0.0000
10 Te 0.0000 0.0000 0.0000

Output
- formation energy without anion corrections (eV/f.u.) = -0.39
- space group = P4/mbm (127)


2.
## Er2AlCu (PBE-GGA)

Data for a relaxed Er2AlCu crystal.

Lattice parameters (Å, degrees): 3.3591 3.3591 10.2982 80.61 80.61 60.00
Positions (direct):
1 Cu 0.0000 0.0000 0.0000
2 Er 0.0910 0.0910 0.7271
3 Er 0.9090 0.9090 0.2729
4 Al 0.5000 0.5000 0.5000

Output
- space group = R-3m (166)
- ΔH_f (0 K) (eV/atom) = 0.308


3.
## RbGe4Cl8 (PBE-GGA)

Data for a relaxed RbGe4Cl8 crystal.

Lattice parameters (Å, degrees): 8.2783 8.2783 8.4402 103.16 105.41 119.80
Positions (direct):
1 Ge 0.7398 0.7398 0.0000
2 Ge 0.2664 0.7677 0.0341
3 Ge 0.2602 0.2602 0.0000
4 Ge 0.7336 0.2323 0.9659
5 Cl 0.2087 0.9947 0.2034
6 Cl 0.6604 0.9827 0.1964
7 Cl 0.7862 0.4639 0.8036
8 Cl 0.3396 0.0173 0.8036
9 Cl 0.2138 0.5361 0.1964
10 Cl 0.6618 0.5306 0.1924
11 Cl 0.7913 0.0053 0.7966
12 Cl 0.3382 0.4694 0.8076
13 Rb 0.0000 0.5000 0.5000

Output
- formation energy without anion corrections (eV/f.u.) = -10.47
- space group = C2/m (12)


4.
## B5C7 (PBE-GGA)

Data for a relaxed B5C7 crystal.

Lattice parameters (Å, degrees): 4.8520 4.8520 7.2675 116.94 116.94 31.15
Positions (direct):
1 B 0.5488 0.5488 0.9165
2 B 0.6562 0.6562 0.3499
3 B 0.3039 0.3039 0.6336
4 B 0.9747 0.9747 0.9914
5 B 0.1761 0.1761 0.1829
6 C 0.8324 0.8324 0.0415
7 C 0.3395 0.3395 0.1665
8 C 0.4928 0.4928 0.3785
9 C 0.1620 0.1620 0.7046
10 C 0.9936 0.9936 0.5028
11 C 0.8470 0.8470 0.5501
12 C 0.6729 0.6729 0.8316

Output
- space group = Cm (8)
- ΔH_f (0 K) (eV/atom) = 0.358


5.
## Li2InHgN (PBE-GGA)

Data for a relaxed Li2InHgN crystal.

Lattice parameters (Å, degrees): 4.2613 4.2613 4.5874 90.00 90.00 90.00
Positions (direct):
1 Li 0.5000 0.0000 0.0000
2 Li 0.0000 0.5000 0.0000
3 N 0.0000 0.0000 0.0000
4 Hg 0.5000 0.5000 0.5000
5 In 0.0000 0.0000 0.5000

Output
- formation energy without anion corrections (eV/f.u.) = -0.68
- space group = P4/mmm (123)


6.
## Ho2BiPb (PBE-GGA)

Data for a relaxed Ho2BiPb crystal.

Lattice parameters (Å, degrees): 3.3430 5.8384 5.8384 90.00 90.00 90.00
Positions (direct):
1 Pb 0.5000 0.0000 0.0000
2 Ho 0.0000 0.0000 0.5000
3 Ho 0.0000 0.5000 0.0000
4 Bi 0.5000 0.5000 0.5000

Output
- space group = P4/mmm (123)
- ΔH_f (0 K) (eV/atom) = -0.468


7.
## Li2YSnTe (PBE-GGA)

Data for a relaxed Li2YSnTe crystal.

Lattice parameters (Å, degrees): 4.8271 6.4947 4.8271 90.00 90.00 90.00
Positions (direct):
1 Li 0.5000 0.0000 0.0000
2 Li 0.0000 0.0000 0.5000
3 Y 0.5000 0.5000 0.5000
4 Sn 0.0000 0.5000 0.0000
5 Te 0.0000 0.0000 0.0000

Output
- formation energy without anion corrections (eV/f.u.) = -0.86
- space group = P4/mmm (123)


8.
## MgSnRh (PBE-GGA)

Data for a relaxed MgSnRh crystal.

Lattice parameters (Å, degrees): 3.4376 3.4376 5.1351 109.56 109.56 90.00
Positions (direct):
1 Mg 0.2929 0.2929 0.5858
2 Rh 0.9519 0.9519 0.9038
3 Sn 0.6052 0.6052 0.2104

Output
- space group = I4mm (107)
- ΔH_f (0 K) (eV/atom) = -0.460